The following is a DFT calculation (PBE) of a geometry-optimized NaCuSi2Tc structure.

```
NaCuSi2Tc
1.0
4.454 0.000 0.000
0.000 4.454 0.000
0.000 0.000 4.604
Na Cu Si Tc
1 1 2 1
Cartesian
0.000 0.000 0.000
0.000 0.000 2.302
0.000 2.227 2.302
2.227 0.000 2.302
2.227 2.227 0.000
```

## Properties
Total moment = 2.96 μB/cell
Total energy = -4.31 eV per atom
Raw formation energy = 23.39 kcal/mol of atoms
Space-group type = P4/mmm, No. 123